Entry 1:
A geometry-optimized Sc2PtAu2 structure. Source: the Alexandria database, functional PBE.

Cell: 7.3856 7.3856 3.5353 Å, 90.00 90.00 90.00°
Closest atoms and distances in Å follow each position.
Fractional coordinates of all 10 atoms:
Sc (0.1734, 0.3266, 0.0000)  6 Au 2.70-2.88
Sc (0.3266, 0.8266, 0.0000)  6 Au 2.70-2.88
Sc (0.6734, 0.1734, 0.0000)  6 Au 2.70-2.88
Sc (0.8266, 0.6734, 0.0000)  6 Au 2.70-2.88
Pt (0.0000, 0.0000, 0.5000)  4 Au 2.89
Pt (0.5000, 0.5000, 0.5000)  4 Au 2.89
Au (0.1318, 0.6318, 0.5000)  6 Sc 2.70-2.88, 1 Au 2.75, 2 Pt 2.89
Au (0.3682, 0.1318, 0.5000)  6 Sc 2.70-2.88, 1 Au 2.75, 2 Pt 2.89
Au (0.6318, 0.8682, 0.5000)  6 Sc 2.70-2.88, 1 Au 2.75, 2 Pt 2.89
Au (0.8682, 0.3682, 0.5000)  6 Sc 2.70-2.88, 1 Au 2.75, 2 Pt 2.89

ΔH_f (0 K) ... -3.7 eV per formula unit
V ... 192.8 Å³ per cell
DOS(E_F) ... 10.7 states/eV per cell
Energy above the lowest structure with this stoichiometry ... 0.06 eV per formula unit

***

Entry 2:
A geometry-optimized Nd2Dy5Bi3C2 structure. Source: the Alexandria database, functional PBE.

Cell: 13.5981 13.5981 13.5981 Å, 159.28 159.28 29.46°
Closest atoms and distances in Å follow each position.
Fractional coordinates of all 12 atoms:
Nd (0.1927, 0.1927, 0.0000)  1 C 2.59
Nd (0.8073, 0.8073, 0.0000)  1 C 2.59
Dy (0.0000, 0.0000, 0.0000)  2 C 2.48
Dy (0.0920, 0.5920, 0.5000)  2 C 2.45
Dy (0.4080, 0.9080, 0.5000)  2 C 2.45
Dy (0.5920, 0.0920, 0.5000)  2 C 2.45
Dy (0.9080, 0.4080, 0.5000)  2 C 2.45
Bi (0.3206, 0.3206, 0.0000)  4 Dy 3.36, 5 Nd 3.36-3.48
Bi (0.5000, 0.5000, 0.0000)  12 Dy 3.44-3.46
Bi (0.6794, 0.6794, 0.0000)  4 Dy 3.36, 5 Nd 3.36-3.48
C (0.0943, 0.0943, 0.0000)  5 Dy 2.45-2.48, 1 Nd 2.59
C (0.9057, 0.9057, 0.0000)  5 Dy 2.45-2.48, 1 Nd 2.59

ΔH_f (0 K) ... -7.6 eV per formula unit
V ... 314.5 Å³ per cell
DOS(E_F) ... 8.2 states/eV per cell

***

Entry 3:
A geometry-optimized TiGa2 structure. Source: the Alexandria database, functional PBE.

Cell: 5.1139 5.1139 5.1139 Å, 60.00 60.00 60.00°
Closest atoms and distances in Å follow each position.
Fractional coordinates of all 6 atoms:
Ti (0.1250, 0.1250, 0.1250)  12 Ga 3.00, 4 Ti 3.13
Ti (0.8750, 0.8750, 0.8750)  12 Ga 3.00, 4 Ti 3.13
Ga (0.0000, 0.5000, 0.5000)  6 Ga 2.56
Ga (0.5000, 0.0000, 0.5000)  6 Ga 2.56
Ga (0.5000, 0.5000, 0.0000)  6 Ga 2.56
Ga (0.5000, 0.5000, 0.5000)  6 Ga 2.56

ΔH_f (0 K) ... -0.8 eV per formula unit
V ... 94.6 Å³ per cell
DOS(E_F) ... 2.9 states/eV per cell

***

Entry 4:
A geometry-optimized U2HgSb4 structure. Source: the Alexandria database, functional PBE.

Cell: 4.3363 4.3363 10.2924 Å, 90.00 90.00 90.00°
Closest atoms and distances in Å follow each position.
Fractional coordinates of all 7 atoms:
U (0.0000, 0.5000, 0.2351)  8 Sb 3.16-3.25, 2 Hg 3.48
U (0.5000, 0.0000, 0.7649)  8 Sb 3.16-3.25, 2 Hg 3.48
Hg (0.0000, 0.0000, 0.5000)  4 Sb 2.94
Sb (0.0000, 0.0000, 0.0000)  4 Sb 3.07, 4 U 3.25
Sb (0.0000, 0.5000, 0.6922)  2 Hg 2.94, 4 U 3.16
Sb (0.5000, 0.0000, 0.3078)  2 Hg 2.94, 4 U 3.16
Sb (0.5000, 0.5000, 0.0000)  4 Sb 3.07, 4 U 3.25

Formation energy without anion corrections ... -15 kJ/mol of atoms
V ... 193.5 Å³ per cell
DOS(E_F) ... 14.6 states/eV per cell

***

Entry 5:
A geometry-optimized FeCoSb2 structure. Source: the Alexandria database, functional PBE.

Cell: 6.9291 6.9291 6.9291 Å, 131.40 131.40 71.17°
Closest atoms and distances in Å follow each position.
Fractional coordinates of all 8 atoms:
Fe (0.0000, 0.0000, 0.0000)  4 Sb 2.46
Fe (0.7500, 0.2500, 0.5000)  4 Sb 2.46
Co (0.2500, 0.7500, 0.5000)  4 Sb 2.46
Co (0.5000, 0.5000, 0.0000)  4 Sb 2.46
Sb (0.1256, 0.6250, 0.0006)  2 Co 2.46, 2 Fe 2.46
Sb (0.3750, 0.3756, 0.5006)  2 Co 2.46, 2 Fe 2.46
Sb (0.6244, 0.1250, 0.9994)  2 Co 2.46, 2 Fe 2.46
Sb (0.8750, 0.8744, 0.4994)  2 Co 2.46, 2 Fe 2.46

Formation energy without anion corrections ... 54 kJ/mol of atoms
V ... 183.2 Å³ per cell
DOS(E_F) ... 7.5 states/eV per cell

***

Entry 6:
A geometry-optimized SiSb2Br structure. Source: the Alexandria database, functional PBE.

Cell: 5.1052 5.1052 5.1052 Å, 60.00 60.00 60.00°
Closest atoms and distances in Å follow each position.
Fractional coordinates of all 4 atoms:
Si (0.0000, 0.0000, 0.0000)  8 Sb 3.13
Sb (0.2500, 0.2500, 0.2500)  4 Br 3.13, 4 Si 3.13
Sb (0.7500, 0.7500, 0.7500)  4 Br 3.13, 4 Si 3.13
Br (0.5000, 0.5000, 0.5000)  8 Sb 3.13

Formation energy without anion corrections ... 37 kJ/mol of atoms
V ... 94.1 Å³ per cell
DOS(E_F) ... 1.9 states/eV per cell
Energy above the lowest structure with this stoichiometry ... 1.16 eV per formula unit

***

What did the third record say?
A geometry-optimized TiGa2 structure. Source: the Alexandria database, functional PBE.

Cell: 5.1139 5.1139 5.1139 Å, 60.00 60.00 60.00°
Closest atoms and distances in Å follow each position.
Fractional coordinates of all 6 atoms:
Ti (0.1250, 0.1250, 0.1250)  12 Ga 3.00, 4 Ti 3.13
Ti (0.8750, 0.8750, 0.8750)  12 Ga 3.00, 4 Ti 3.13
Ga (0.0000, 0.5000, 0.5000)  6 Ga 2.56
Ga (0.5000, 0.0000, 0.5000)  6 Ga 2.56
Ga (0.5000, 0.5000, 0.0000)  6 Ga 2.56
Ga (0.5000, 0.5000, 0.5000)  6 Ga 2.56

ΔH_f (0 K) ... -0.8 eV per formula unit
V ... 94.6 Å³ per cell
DOS(E_F) ... 2.9 states/eV per cell

***

> The highest V belongs to which entry?

Nd2Dy5Bi3C2

***

> The highest DOS(E_F) belongs to which entry?

U2HgSb4